1.
A relaxed ScAuC crystal. Source: the Alexandria database, functional PBE.

abc: 4.741 5.921 3.622
angles: 109.20 91.08 88.56
Fractional coordinates of all 6 atoms:
Sc 0.923 0.954 0.183
Sc 0.492 0.395 0.877
Au 0.437 0.802 0.579
Au 0.938 0.536 0.467
C 0.938 0.234 0.826
C 0.185 0.109 0.792

Summary:
- Energy of formation: -56.4 kJ/mol of formula units
- Crystal system: triclinic
- Symmetry: No. 1

2.
A relaxed Sc3AuC crystal. Source: the Alexandria database, functional PBE.

abc: 8.403 8.403 8.403
angles: 60.00 60.00 60.00
Fractional coordinates of all 20 atoms:
Sc 0.802 0.198 0.198
Sc 0.448 0.052 0.052
Sc 0.198 0.802 0.802
Sc 0.198 0.198 0.802
Sc 0.052 0.448 0.448
Sc 0.052 0.052 0.448
Sc 0.448 0.052 0.448
Sc 0.052 0.448 0.052
Sc 0.448 0.448 0.052
Sc 0.802 0.198 0.802
Sc 0.802 0.802 0.198
Sc 0.198 0.802 0.198
Au 0.625 0.125 0.625
Au 0.125 0.625 0.625
Au 0.625 0.625 0.625
Au 0.625 0.625 0.125
C 0.125 0.625 0.125
C 0.125 0.125 0.125
C 0.125 0.125 0.625
C 0.625 0.125 0.125

Summary:
- Energy of formation: -116.7 kJ/mol of formula units
- Energy relative to the lowest polymorph listed for this composition: 0.4149 eV/atom
- Crystal system: cubic
- Symmetry: No. 227

3.
A relaxed Sc3AuC crystal. Source: the Alexandria database, functional PBE.

abc: 13.568 8.002 8.002
angles: 108.77 136.09 43.91
Fractional coordinates of all 20 atoms:
Au 0.750 0.215 0.715
Au 0.750 0.564 0.064
Au 0.250 0.785 0.285
Au 0.250 0.436 0.936
C 0.636 0.185 0.979
C 0.136 0.521 0.315
C 0.364 0.815 0.021
C 0.864 0.479 0.685
Sc 0.413 0.303 0.418
Sc 0.589 0.378 0.233
Sc 0.587 0.697 0.582
Sc 0.911 0.733 0.878
Sc 0.609 0.790 0.275
Sc 0.089 0.267 0.122
Sc 0.391 0.210 0.725
Sc 0.411 0.622 0.767
Sc 0.087 0.918 0.803
Sc 0.109 0.225 0.710
Sc 0.913 0.082 0.197
Sc 0.891 0.775 0.290

Summary:
- Energy of formation: -188.7 kJ/mol of formula units
- Energy relative to the lowest polymorph listed for this composition: 0.2656 eV/atom
- Crystal system: monoclinic
- Symmetry: No. 15

4.
A relaxed Sc3AuC crystal. Source: the Alexandria database, functional PBE.

abc: 4.494 4.494 4.494
angles: 90.00 90.00 90.00
Fractional coordinates of all 5 atoms:
Au 0.500 0.500 0.500
C 0.000 0.000 0.000
Sc 0.500 0.000 0.000
Sc 0.000 0.500 0.000
Sc 0.000 0.000 0.500

Summary:
- Energy of formation: -298.0 kJ/mol of formula units
- Energy relative to the lowest polymorph listed for this composition: 0.0392 eV/atom
- Crystal system: cubic
- Symmetry: No. 221